# 1
# Dy2BiO2 | the Open Quantum Materials Database | PBE-GGA | optimized geometry
# E   -7.33 eV/atom
# Spin magnetization   0.00 Bohr magnetons per cell
data_Dy2BiO2
_chemical_formula_sum 'Dy4 Bi2 O4'
_space_group_name_H-M_alt 'I 4/m m m'
_space_group_IT_number 139
_space_group_name_Hall '-I 4 2'
_cell_length_a 3.8619
_cell_length_b 3.8619
_cell_length_c 13.3829
_cell_angle_alpha 90.00
_cell_angle_beta 90.00
_cell_angle_gamma 90.00
loop_
_atom_site_label
_atom_site_fract_x
_atom_site_fract_y
_atom_site_fract_z
Dy1 0.0000 0.0000 0.1671
Bi1 0.0000 0.0000 0.5000
O1 0.0000 0.5000 0.2500

=====

# 2
# DyBiPb2O6 | the Open Quantum Materials Database | PBE-GGA | optimized geometry
# E   -6.04 eV/atom
# Spin magnetization   0.00 Bohr magnetons per cell
data_DyBiPb2O6
_chemical_formula_sum 'Dy1 Bi1 Pb2 O6'
_space_group_name_H-M_alt 'P -1'
_space_group_IT_number 2
_space_group_name_Hall '-P 1'
_cell_length_a 5.2096
_cell_length_b 5.4260
_cell_length_c 5.8568
_cell_angle_alpha 95.23
_cell_angle_beta 92.80
_cell_angle_gamma 104.55
loop_
_atom_site_label
_atom_site_fract_x
_atom_site_fract_y
_atom_site_fract_z
Dy1 0.0000 0.0000 0.0000
Bi1 0.5000 0.5000 0.0000
Pb1 0.2932 0.7093 0.4505
O1 0.2437 0.7369 0.0490
O2 0.2601 0.2342 0.7376
O3 0.2971 0.3007 0.2666

=====

# 3
# DyBiS2O | the Open Quantum Materials Database | PBE-GGA | optimized geometry
# E   -6.10 eV/atom
# Spin magnetization   0.01 Bohr magnetons per cell
data_DyBiS2O
_chemical_formula_sum 'Dy2 Bi2 S4 O2'
_space_group_name_H-M_alt 'P 4/n m m'
_space_group_IT_number 129
_cell_length_a 3.9134
_cell_length_b 3.9134
_cell_length_c 14.1176
_cell_angle_alpha 90.00
_cell_angle_beta 90.00
_cell_angle_gamma 90.00
loop_
_space_group_symop_operation_xyz
'x,y,z'
'-x,-y,-z'
'-y+1/2,x,z'
'y+1/2,-x,-z'
'-x+1/2,-y+1/2,z'
'x+1/2,y+1/2,-z'
'y,-x+1/2,z'
'-y,x+1/2,-z'
'x+1/2,-y,-z'
'-x+1/2,y,z'
'-y,-x,-z'
'y,x,z'
'-x,y+1/2,-z'
'x,-y+1/2,z'
'y+1/2,x+1/2,-z'
'-y+1/2,-x+1/2,z'
loop_
_atom_site_label
_atom_site_fract_x
_atom_site_fract_y
_atom_site_fract_z
Dy1 0.2500 0.2500 0.0794
Bi1 0.2500 0.2500 0.6371
S1 0.2500 0.2500 0.3972
S2 0.2500 0.2500 0.8164
O1 0.2500 0.7500 0.0000

=====

# 4
# DyBiTeO2 | the Open Quantum Materials Database | PBE-GGA | optimized geometry
# E   -6.27 eV/atom
# Spin magnetization   0.00 Bohr magnetons per cell
data_DyBiTeO2
_chemical_formula_sum 'Dy2 Bi2 Te2 O4'
_space_group_name_H-M_alt 'I 4 m m'
_space_group_IT_number 107
_space_group_name_Hall 'I 4 -2'
_cell_length_a 3.9526
_cell_length_b 3.9526
_cell_length_c 12.5431
_cell_angle_alpha 90.00
_cell_angle_beta 90.00
_cell_angle_gamma 90.00
loop_
_atom_site_label
_atom_site_fract_x
_atom_site_fract_y
_atom_site_fract_z
Dy1 0.0000 0.0000 0.0000
Bi1 0.0000 0.0000 0.3139
Te1 0.0000 0.0000 0.6535
O1 0.0000 0.5000 0.4125

=====

# 5
# DyZr2BiO6 | the Open Quantum Materials Database | PBE-GGA | optimized geometry
# E   -6.79 eV/atom
# Spin magnetization   14.68 Bohr magnetons per cell
data_DyZr2BiO6
_chemical_formula_sum 'Dy4 Zr8 Bi4 O24'
_space_group_name_H-M_alt 'F m -3 m'
_space_group_IT_number 225
_space_group_name_Hall '-F 4 2 3'
_cell_length_a 8.4356
_cell_length_b 8.4356
_cell_length_c 8.4356
_cell_angle_alpha 90.00
_cell_angle_beta 90.00
_cell_angle_gamma 90.00
loop_
_atom_site_label
_atom_site_fract_x
_atom_site_fract_y
_atom_site_fract_z
Dy1 0.0000 0.0000 0.0000
Zr1 0.2500 0.2500 0.2500
Bi1 0.0000 0.0000 0.5000
O1 0.0000 0.0000 0.2540

=====

# 6
# Dy3Sc3BiSbOs | the Open Quantum Materials Database | PBE-GGA | optimized geometry
# E   -6.48 eV/atom
# Spin magnetization   0.01 Bohr magnetons per cell
data_Dy3Sc3BiSbOs
_chemical_formula_sum 'Dy3 Sc3 Bi1 Sb1 Os1'
_space_group_name_H-M_alt 'P -6'
_space_group_IT_number 174
_space_group_name_Hall 'P -6'
_cell_length_a 7.9136
_cell_length_b 7.9136
_cell_length_c 4.1728
_cell_angle_alpha 90.00
_cell_angle_beta 90.00
_cell_angle_gamma 120.00
loop_
_atom_site_label
_atom_site_fract_x
_atom_site_fract_y
_atom_site_fract_z
Dy1 0.0597 0.7206 0.0000
Sc1 0.4423 0.1072 0.5000
Bi1 0.0000 0.0000 0.5000
Sb1 0.3333 0.6667 0.5000
Os1 0.6667 0.3333 0.0000

=====

# 7
# Dy3Sc3BiTeOs | the Open Quantum Materials Database | PBE-GGA | optimized geometry
# E   -6.38 eV/atom
# Spin magnetization   0.00 Bohr magnetons per cell
data_Dy3Sc3BiTeOs
_chemical_formula_sum 'Dy3 Sc3 Bi1 Te1 Os1'
_space_group_name_H-M_alt 'P -6'
_space_group_IT_number 174
_space_group_name_Hall 'P -6'
_cell_length_a 7.9541
_cell_length_b 7.9541
_cell_length_c 4.1188
_cell_angle_alpha 90.00
_cell_angle_beta 90.00
_cell_angle_gamma 120.00
loop_
_atom_site_label
_atom_site_fract_x
_atom_site_fract_y
_atom_site_fract_z
Dy1 0.0547 0.7187 0.0000
Sc1 0.4409 0.1065 0.5000
Bi1 0.0000 0.0000 0.5000
Te1 0.3333 0.6667 0.5000
Os1 0.6667 0.3333 0.0000

=====

# 8
# DyTm3Sc2Bi2Os | the Open Quantum Materials Database | PBE-GGA | optimized geometry
# E   -6.12 eV/atom
# Spin magnetization   0.07 Bohr magnetons per cell
data_DyTm3Sc2Bi2Os
_chemical_formula_sum 'Dy2 Tm6 Sc4 Bi4 Os2'
_space_group_name_H-M_alt 'A m m 2'
_space_group_IT_number 38
_space_group_name_Hall 'A 2 -2'
_cell_length_a 4.1998
_cell_length_b 13.9397
_cell_length_c 8.0552
_cell_angle_alpha 90.00
_cell_angle_beta 90.00
_cell_angle_gamma 90.00
loop_
_atom_site_label
_atom_site_fract_x
_atom_site_fract_y
_atom_site_fract_z
Dy1 0.0000 0.0000 0.0000
Tm1 0.5000 0.0000 0.6095
Tm2 0.5000 0.1928 0.0425
Sc1 0.0000 0.1138 0.3466
Bi1 0.0000 0.1693 0.7283
Os1 0.5000 0.0000 0.2442